# Sm2Fe3B6

A relaxed Sm2Fe3B6 crystal (GGA-PBE, Alexandria via LeMat-Bulk).

Cell and atoms, written as POSCAR:
```
Sm2Fe3B6
1.0
3.570 0.000 0.000
0.000 5.828 -0.807
0.000 -0.162 5.882
Sm Fe B
2 3 6
direct
0.000 0.285 0.715
0.000 0.715 0.285
0.000 0.206 0.206
0.000 0.794 0.794
0.500 0.000 0.000
0.500 0.378 0.378
0.500 0.622 0.622
0.500 0.081 0.385
0.500 0.919 0.615
0.500 0.385 0.081
0.500 0.615 0.919
```

**SG**: No. 65
**DFT formation energy**: -405.8 meV per atom
**Theoretical density**: 7262 kg/m3

***

# AlAgAs2Br

A relaxed AlAgAs2Br crystal (GGA-PBE, Alexandria via LeMat-Bulk).

Cell and atoms, written as POSCAR:
```
AlAgAs2Br
1.0
4.977 0.000 0.000
0.000 4.977 0.000
0.000 0.000 5.875
As Br Ag Al
2 1 1 1
direct
0.000 0.500 0.000
0.500 0.000 0.000
0.000 0.000 0.500
0.000 0.000 0.000
0.500 0.500 0.500
```

**SG**: No. 123
**Theoretical density**: 4161 kg/m3
**Formation energy without anion corrections**: 0.74 eV per atom
**Energy above the lowest structure with this stoichiometry**: 308 meV per atom